Here is NpMnInF6 after structural relaxation from Alexandria via LeMat-Bulk. Energies are from GGA+U.

Cell: 5.946 5.946 11.495 Å, 90.00 90.00 120.00°
Fractional positions:
Np 0.667 0.333 0.250
Np 0.333 0.667 0.750
Mn 0.333 0.667 0.250
Mn 0.667 0.333 0.750
In 0.000 0.000 0.000
In 0.000 0.000 0.500
F 0.616 0.641 0.149
F 0.025 0.384 0.149
F 0.384 0.025 0.649
F 0.975 0.616 0.851
F 0.359 0.384 0.351
F 0.025 0.641 0.351
F 0.641 0.025 0.851
F 0.616 0.975 0.351
F 0.975 0.359 0.649
F 0.359 0.975 0.149
F 0.641 0.616 0.649
F 0.384 0.359 0.851

The spin magnetization comes out at 0.556 μB/atom. The total energy comes out at -111.963 eV per cell.